Compound: CeGdFe
Source: the Alexandria database
Functional: PBE-GGA
Structure: optimized geometry

The calculation puts the total DFT energy (no corrections) at -9.4486 eV per atom. The formation enthalpy at 0 K comes out at 44 meV/atom.

It has space group P-6m2 (No. 187), with a = 4.0455 Å, b = 4.0455 Å, c = 5.0188 Å, α = 90.00°, β = 90.00° and γ = 120.00°. The inequivalent atoms are Ce at (0.0000, 0.0000, 0.0000), Gd at (0.6667, 0.3333, 0.5000) and Fe at (0.3333, 0.6667, 0.0000).